[1]
The following is a GGA-PBE calculation of crystalline Y12SbRh6 at its relaxed geometry, from Alexandria via LeMat-Bulk.

Cell and atoms, written as POSCAR:
```
Y12SbRh6
1.0
-4.966 4.966 4.966
4.966 -4.966 4.966
4.966 4.966 -4.966
Y Sb Rh
12 1 6
Direct
0.110 0.808 0.301
0.192 0.301 0.493
0.192 0.699 0.890
0.301 0.110 0.808
0.301 0.493 0.192
0.493 0.192 0.301
0.507 0.808 0.699
0.699 0.507 0.808
0.699 0.890 0.192
0.808 0.301 0.110
0.808 0.699 0.507
0.890 0.192 0.699
0.000 0.000 0.000
0.130 0.630 0.500
0.370 0.500 0.870
0.500 0.130 0.630
0.500 0.870 0.370
0.630 0.500 0.130
0.870 0.370 0.500
```

- uncorrected formation energy (meV per atom) = -654.0
- DOS at the Fermi energy (states/eV/f.u.) = 11.9


[2]
The following is a GGA-PBE calculation of crystalline LuBN2 at its relaxed geometry, from Alexandria via LeMat-Bulk.

Cell and atoms, written as POSCAR:
```
LuBN2
1.0
1.760 1.016 4.966
-1.760 1.016 4.966
0.000 -2.033 4.966
Lu B N
1 1 2
Direct
0.000 0.000 0.000
0.500 0.500 0.500
0.410 0.410 0.410
0.590 0.590 0.590
```

- uncorrected formation energy (meV per atom) = -1445.1
- DOS at the Fermi energy (states/eV/f.u.) = 0.0


[3]
The following is a GGA-PBE calculation of crystalline MgGe5Br12 at its relaxed geometry, from Alexandria via LeMat-Bulk.

Cell and atoms, written as POSCAR:
```
MgGe5Br12
1.0
3.495 -6.060 0.000
3.495 6.060 0.000
-0.005 0.000 14.149
Mg Ge Br
1 5 12
Direct
0.000 0.000 0.000
0.167 0.833 0.500
0.333 0.667 0.000
0.500 0.500 0.500
0.667 0.333 0.000
0.833 0.167 0.500
0.000 0.318 0.110
0.000 0.682 0.890
0.166 0.166 0.385
0.167 0.500 0.615
0.318 0.000 0.110
0.318 0.318 0.890
0.500 0.167 0.615
0.500 0.833 0.385
0.682 0.000 0.890
0.682 0.682 0.110
0.833 0.500 0.385
0.834 0.834 0.615
```

- uncorrected formation energy (meV per atom) = -710.7
- DOS at the Fermi energy (states/eV/f.u.) = 0.0


[4]
The following is a GGA-PBE calculation of crystalline InGe3Bi at its relaxed geometry, from Alexandria via LeMat-Bulk.

Cell and atoms, written as POSCAR:
```
InGe3Bi
1.0
5.253 0.000 0.000
0.000 5.253 0.000
0.000 0.000 5.253
In Ge Bi
1 3 1
Direct
0.000 0.000 0.000
0.000 0.000 0.500
0.000 0.500 0.000
0.500 0.000 0.000
0.500 0.500 0.500
```

- energy of formation from the pure elements (kJ/mol of atoms) = 71.9
- ΔE to the lowest computed polymorph (meV per atom) = 0.0
- DOS at the Fermi energy (states/eV/f.u.) = 3.0


[5]
The following is a GGA-PBE calculation of crystalline TcIrRh2 at its relaxed geometry, from Alexandria via LeMat-Bulk.

Cell and atoms, written as POSCAR:
```
TcIrRh2
1.0
1.369 0.790 8.858
-1.369 0.790 8.858
0.000 -1.581 8.858
Tc Ir Rh
1 1 2
Direct
0.000 0.000 0.000
0.251 0.251 0.251
0.500 0.500 0.500
0.748 0.748 0.748
```

- energy of formation from the pure elements (kJ/mol of atoms) = -3.6
- ΔE to the lowest computed polymorph (meV per atom) = 62.7
- DOS at the Fermi energy (states/eV/f.u.) = 5.8


[6]
The following is a GGA-PBE calculation of crystalline MnFe2P4 at its relaxed geometry, from Alexandria via LeMat-Bulk.

Cell and atoms, written as POSCAR:
```
MnFe2P4
1.0
3.199 -5.018 0.000
3.199 5.018 0.000
-3.107 0.000 5.580
Mn Fe P
2 4 8
Direct
0.125 0.875 0.500
0.875 0.125 0.000
0.127 0.856 0.915
0.306 0.554 0.411
0.554 0.306 0.911
0.856 0.127 0.415
0.311 0.320 0.097
0.320 0.311 0.597
0.385 0.899 0.277
0.426 0.854 0.781
0.779 0.844 0.609
0.844 0.779 0.109
0.854 0.426 0.281
0.899 0.385 0.777
```

- energy of formation from the pure elements (kJ/mol of atoms) = -43.3
- DOS at the Fermi energy (states/eV/f.u.) = 3.9


[7]
The following is a GGA-PBE calculation of crystalline Pa4PN6 at its relaxed geometry, from Alexandria via LeMat-Bulk.

Cell and atoms, written as POSCAR:
```
Pa4PN6
1.0
-1.923 1.923 11.485
1.923 -1.923 11.485
1.923 1.923 -11.485
Pa P N
4 1 6
Direct
0.082 0.082 0.000
0.307 0.307 0.000
0.693 0.693 0.000
0.918 0.918 0.000
0.500 0.500 0.000
0.128 0.628 0.500
0.250 0.750 0.500
0.372 0.872 0.500
0.628 0.128 0.500
0.750 0.250 0.500
0.872 0.372 0.500
```

- uncorrected formation energy (meV per atom) = -1568.8
- DOS at the Fermi energy (states/eV/f.u.) = 5.5


[8]
The following is a GGA-PBE calculation of crystalline LaPN2 at its relaxed geometry, from Alexandria via LeMat-Bulk.

Cell and atoms, written as POSCAR:
```
LaPN2
1.0
3.511 -3.187 0.000
3.511 3.187 0.000
-3.064 0.000 6.294
La P N
2 2 4
Direct
0.150 0.850 0.750
0.850 0.150 0.250
0.345 0.655 0.250
0.655 0.345 0.750
0.088 0.670 0.358
0.330 0.912 0.142
0.670 0.088 0.858
0.912 0.330 0.642
```

- uncorrected formation energy (meV per atom) = -999.1


[9]
The following is a GGA-PBE calculation of crystalline CaTbPd2 at its relaxed geometry, from Alexandria via LeMat-Bulk.

Cell and atoms, written as POSCAR:
```
CaTbPd2
1.0
2.037 1.176 6.919
-2.037 1.176 6.919
0.000 -2.352 6.919
Ca Tb Pd
1 1 2
Direct
0.000 0.000 0.000
0.500 0.500 0.500
0.245 0.245 0.245
0.755 0.755 0.755
```

- energy of formation from the pure elements (kJ/mol of atoms) = -59.6
- DOS at the Fermi energy (states/eV/f.u.) = 1.9


[10]
The following is a GGA-PBE calculation of crystalline ZrSiRh2 at its relaxed geometry, from Alexandria via LeMat-Bulk.

Cell and atoms, written as POSCAR:
```
ZrSiRh2
1.0
1.513 0.874 8.080
-1.513 0.874 8.080
0.000 -1.747 8.080
Zr Si Rh
1 1 2
Direct
0.000 0.000 0.000
0.500 0.500 0.500
0.237 0.237 0.237
0.763 0.763 0.763
```

- uncorrected formation energy (meV per atom) = -458.0
- DOS at the Fermi energy (states/eV/f.u.) = 3.6


[11]
The following is a GGA-PBE calculation of crystalline Sn2Rh at its relaxed geometry, from Alexandria via LeMat-Bulk.

Cell and atoms, written as POSCAR:
```
Sn2Rh
1.0
-3.284 3.284 5.579
3.284 -3.284 5.579
3.284 3.284 -5.579
Sn Rh
6 3
Direct
0.000 0.297 0.297
0.000 0.703 0.703
0.255 0.755 0.500
0.297 0.000 0.297
0.703 0.000 0.703
0.755 0.255 0.500
0.181 0.181 0.000
0.419 0.419 0.000
0.828 0.828 0.000
```

- energy of formation from the pure elements (kJ/mol of atoms) = 63.2
- DOS at the Fermi energy (states/eV/f.u.) = 2.8


[12]
The following is a GGA-PBE calculation of crystalline CsK4Br5 at its relaxed geometry, from Alexandria via LeMat-Bulk.

Cell and atoms, written as POSCAR:
```
CsK4Br5
1.0
-2.432 2.432 17.079
2.432 -2.432 17.079
2.432 2.432 -17.079
Cs K Br
1 4 5
Direct
0.000 0.000 0.000
0.202 0.202 0.000
0.396 0.396 0.000
0.604 0.604 0.000
0.798 0.798 0.000
0.105 0.105 0.000
0.299 0.299 0.000
0.500 0.500 0.000
0.701 0.701 0.000
0.895 0.895 0.000
```

- uncorrected formation energy (meV per atom) = -1738.3
- ΔE to the lowest computed polymorph (meV per atom) = 5.7
- DOS at the Fermi energy (states/eV/f.u.) = 0.0


[13]
The following is a GGA-PBE calculation of crystalline CaRu2Pt2 at its relaxed geometry, from Alexandria via LeMat-Bulk.

Cell and atoms, written as POSCAR:
```
CaRu2Pt2
1.0
4.752 0.000 0.000
0.000 4.752 0.000
0.000 0.000 5.063
Ca Ru Pt
1 2 2
Direct
0.000 0.000 0.000
0.000 0.500 0.500
0.500 0.000 0.500
0.500 0.500 0.000
0.500 0.500 0.500
```

- energy of formation from the pure elements (kJ/mol of atoms) = 91.3
- ΔE to the lowest computed polymorph (meV per atom) = 1043.4
- DOS at the Fermi energy (states/eV/f.u.) = 8.2


[14]
The following is a GGA-PBE calculation of crystalline Cs3Pb2Cl9 at its relaxed geometry, from Alexandria via LeMat-Bulk.

Cell and atoms, written as POSCAR:
```
Cs3Pb2Cl9
1.0
7.738 0.000 0.000
-3.869 6.702 0.000
0.000 0.000 9.619
Cs Pb Cl
3 2 9
Direct
0.000 0.000 0.000
0.333 0.667 0.353
0.667 0.333 0.647
0.333 0.667 0.823
0.667 0.333 0.177
0.000 0.500 0.000
0.170 0.341 0.675
0.170 0.830 0.675
0.341 0.170 0.325
0.500 0.000 0.000
0.500 0.500 0.000
0.659 0.830 0.675
0.830 0.170 0.325
0.830 0.659 0.325
```

- uncorrected formation energy (meV per atom) = -1384.0
- DOS at the Fermi energy (states/eV/f.u.) = 1.4


[15]
The following is a GGA-PBE calculation of crystalline Dy3Er2Tl at its relaxed geometry, from Alexandria via LeMat-Bulk.

Cell and atoms, written as POSCAR:
```
Dy3Er2Tl
1.0
2.431 -7.520 0.000
2.431 7.520 0.000
0.000 0.000 4.834
Dy Er Tl
3 2 1
Direct
0.000 0.000 0.000
0.331 0.669 0.000
0.669 0.331 0.000
0.163 0.837 0.500
0.837 0.163 0.500
0.500 0.500 0.500
```

- energy of formation from the pure elements (kJ/mol of atoms) = -10.6
- ΔE to the lowest computed polymorph (meV per atom) = 0.0
- DOS at the Fermi energy (states/eV/f.u.) = 6.3


[16]
The following is a GGA-PBE calculation of crystalline Sr5CaMg at its relaxed geometry, from Alexandria via LeMat-Bulk.

Cell and atoms, written as POSCAR:
```
Sr5CaMg
1.0
5.921 0.000 0.000
0.000 5.921 0.000
0.000 0.000 10.109
Sr Ca Mg
5 1 1
Direct
0.000 0.000 0.000
0.000 0.500 0.295
0.000 0.500 0.705
0.500 0.000 0.295
0.500 0.000 0.705
0.500 0.500 0.000
0.000 0.000 0.500
```

- energy of formation from the pure elements (kJ/mol of atoms) = 6.6
- ΔE to the lowest computed polymorph (meV per atom) = 0.0
- DOS at the Fermi energy (states/eV/f.u.) = 9.7


[17]
The following is a GGA-PBE calculation of crystalline Th2ScU at its relaxed geometry, from Alexandria via LeMat-Bulk.

Cell and atoms, written as POSCAR:
```
Th2ScU
1.0
5.636 0.000 0.000
0.000 5.636 0.000
0.000 0.000 3.394
Th Sc U
2 1 1
Direct
0.000 0.500 0.000
0.500 0.000 0.000
0.000 0.000 0.500
0.500 0.500 0.500
```

- energy of formation from the pure elements (kJ/mol of atoms) = 24.4
- DOS at the Fermi energy (states/eV/f.u.) = 9.6


[18]
The following is a GGA-PBE calculation of crystalline Ca13Cd2 at its relaxed geometry, from Alexandria via LeMat-Bulk.

Cell and atoms, written as POSCAR:
```
Ca13Cd2
1.0
6.963 0.000 0.000
1.382 9.007 0.000
1.812 3.417 9.196
Ca Cd
13 2
Direct
0.000 0.000 0.000
0.039 0.422 0.699
0.212 0.173 0.236
0.256 0.594 0.944
0.268 0.997 0.639
0.452 0.379 0.410
0.475 0.798 0.160
0.525 0.202 0.840
0.548 0.621 0.590
0.732 0.003 0.361
0.744 0.406 0.056
0.788 0.827 0.764
0.961 0.578 0.301
0.138 0.783 0.459
0.862 0.217 0.541
```

- energy of formation from the pure elements (kJ/mol of atoms) = -6.6
- DOS at the Fermi energy (states/eV/f.u.) = 17.1


[19]
The following is a GGA-PBE calculation of crystalline CaPrInAg at its relaxed geometry, from Alexandria via LeMat-Bulk.

Cell and atoms, written as POSCAR:
```
CaPrInAg
1.0
0.000 3.818 3.818
3.818 0.000 3.818
3.818 3.818 0.000
Ca Pr In Ag
1 1 1 1
Direct
0.000 0.000 0.000
0.500 0.500 0.500
0.750 0.750 0.750
0.250 0.250 0.250
```

- energy of formation from the pure elements (kJ/mol of atoms) = -39.0
- DOS at the Fermi energy (states/eV/f.u.) = 3.0


[20]
The following is a GGA-PBE calculation of crystalline ScSbP at its relaxed geometry, from Alexandria via LeMat-Bulk.

Cell and atoms, written as POSCAR:
```
ScSbP
1.0
4.406 0.000 0.000
-2.203 3.816 0.000
0.000 0.000 3.994
Sc Sb P
1 1 1
Direct
0.000 0.000 0.000
0.333 0.667 0.500
0.667 0.333 0.000
```

- uncorrected formation energy (meV per atom) = -382.0
- ΔE to the lowest computed polymorph (meV per atom) = 313.9
- DOS at the Fermi energy (states/eV/f.u.) = 2.7


[21]
The following is a GGA-PBE calculation of crystalline BaLa3 at its relaxed geometry, from Alexandria via LeMat-Bulk.

Cell and atoms, written as POSCAR:
```
BaLa3
1.0
6.113 0.000 0.000
0.000 6.113 0.000
0.000 0.000 6.113
Ba La
1 3
Direct
0.000 0.000 0.000
0.000 0.000 0.500
0.000 0.500 0.000
0.500 0.000 0.000
```

- energy of formation from the pure elements (kJ/mol of atoms) = 120.7
- ΔE to the lowest computed polymorph (meV per atom) = 1166.7
- DOS at the Fermi energy (states/eV/f.u.) = 7.0


[22]
The following is a GGA-PBE calculation of crystalline Sr2BiS4 at its relaxed geometry, from Alexandria via LeMat-Bulk.

Cell and atoms, written as POSCAR:
```
Sr2BiS4
1.0
7.550 0.000 0.000
0.000 11.792 0.000
0.000 0.000 4.262
Sr Bi S
4 2 8
Direct
0.095 0.184 0.000
0.405 0.684 0.000
0.595 0.316 0.000
0.905 0.816 0.000
0.000 0.500 0.500
0.500 0.000 0.500
0.132 0.713 0.500
0.232 0.445 0.000
0.268 0.945 0.000
0.368 0.213 0.500
0.632 0.787 0.500
0.732 0.055 0.000
0.768 0.555 0.000
0.868 0.287 0.500
```

- uncorrected formation energy (meV per atom) = -1270.4
- DOS at the Fermi energy (states/eV/f.u.) = 3.6


[23]
The following is a GGA-PBE calculation of crystalline AlP2Au at its relaxed geometry, from Alexandria via LeMat-Bulk.

Cell and atoms, written as POSCAR:
```
AlP2Au
1.0
4.832 0.000 0.000
0.000 4.832 0.000
0.000 0.000 2.788
Al P Au
1 2 1
Direct
0.000 0.000 0.000
0.000 0.500 0.500
0.500 0.000 0.500
0.500 0.500 0.000
```

- energy of formation from the pure elements (kJ/mol of atoms) = 27.7
- DOS at the Fermi energy (states/eV/f.u.) = 0.7


[24]
The following is a GGA-PBE calculation of crystalline Ti2VPtCl at its relaxed geometry, from Alexandria via LeMat-Bulk.

Cell and atoms, written as POSCAR:
```
Ti2VPtCl
1.0
4.613 0.000 0.000
0.000 4.613 0.000
0.000 0.000 4.286
Ti V Pt Cl
2 1 1 1
Direct
0.000 0.500 0.000
0.500 0.000 0.000
0.000 0.000 0.000
0.500 0.500 0.500
0.000 0.000 0.500
```

- uncorrected formation energy (meV per atom) = 521.0
- DOS at the Fermi energy (states/eV/f.u.) = 4.1